A plane-wave DFT calculation with GGA+U was carried out for a relaxed structure of Li4CoO2F2.

Properties
Fermi-level density of states: 0.00 states/eV per cell
SG: C2/m (12)
E: -5.014 eV/atom

Cell: 3.717 5.201 5.581 Å, 73.85 70.55 69.06°
Atoms (fractional coordinates):
O1 0.086 0.644 0.184
O2 0.914 0.356 0.816
Co1 0.000 0.000 0.000
F1 0.268 0.827 0.636
F2 0.732 0.173 0.364
Li1 0.853 0.764 0.530
Li2 0.147 0.236 0.470
Li3 0.659 0.532 0.150
Li4 0.341 0.468 0.850